Here is a geometry-optimized RbSmBi structure from OQMD via LeMat-Bulk. Energies are from PBE.

Properties
Uncorrected energy, eV per atom: -3.147
Magnetization, μB/f.u.: 0.830
Symmetry: F-43m (216)

Lattice parameters (Å, degrees): 5.518 5.518 5.518 60.00 60.00 60.00
Sites, in units of the cell vectors:
Bi  0.250  0.250  0.250
Rb  0.750  0.750  0.750
Sm  0.000  0.000  0.000

***

Here is a geometry-optimized TaBeReGe structure from OQMD via LeMat-Bulk. Energies are from PBE.

Properties
Magnetization, μB/f.u.: 0.005
Symmetry: F-43m (216)
Offset from the most stable computed form, meV per atom: 102.7

Lattice parameters (Å, degrees): 4.347 4.347 4.347 60.00 60.00 60.00
Sites, in units of the cell vectors:
Re  0.500  0.500  0.500
Ge  0.000  0.000  0.000
Be  0.750  0.750  0.750
Ta  0.250  0.250  0.250

***

Here is a geometry-optimized Li2Mg4PdPt structure from OQMD via LeMat-Bulk. Energies are from PBE.

Properties
Uncorrected energy, eV per atom: -3.211
Magnetization, μB/f.u.: 0.003
Symmetry: P4/mmm (123)

Lattice parameters (Å, degrees): 4.548 4.548 6.429 90.00 90.00 90.00
Sites, in units of the cell vectors:
Mg  0.500  0.000  0.251
Mg  0.000  0.500  0.749
Li  0.500  0.500  0.000
Mg  0.000  0.500  0.251
Mg  0.500  0.000  0.749
Pd  0.000  0.000  0.000
Li  0.000  0.000  0.500
Pt  0.500  0.500  0.500

***

Here is a geometry-optimized CdBiTe2 structure from OQMD via LeMat-Bulk. Energies are from PBE.

Properties
Uncorrected energy, eV per atom: -2.618
Symmetry: F-43m (216)

Lattice parameters (Å, degrees): 5.430 5.430 5.430 60.00 60.00 60.00
Sites, in units of the cell vectors:
Bi  0.750  0.750  0.750
Te  0.250  0.250  0.250
Cd  0.500  0.500  0.500
Te  0.000  0.000  0.000

***

Here is a geometry-optimized TbDy2Zn3AgAu2 structure from OQMD via LeMat-Bulk. Energies are from PBE.

Properties
Uncorrected energy, eV per atom: -3.580
Magnetization, μB/f.u.: 0.014
Symmetry: Amm2 (38)

Lattice parameters (Å, degrees): 3.821 7.561 7.561 120.09 90.00 90.00
Sites, in units of the cell vectors:
Dy  0.000  0.595  0.000
Tb  0.000  0.405  0.405
Au  0.500  0.668  0.333
Zn  0.500  0.740  0.740
Dy  0.000  0.000  0.595
Zn  0.500  0.261  0.000
Zn  0.500  0.000  0.261
Ag  0.000  0.999  0.999
Au  0.500  0.333  0.668

***

Here is a geometry-optimized Er2SbSe structure from OQMD via LeMat-Bulk. Energies are from PBE.

Properties
Uncorrected energy, eV per atom: -5.574
Magnetization, μB/f.u.: 0.008
Symmetry: P4/mmm (123)

Lattice parameters (Å, degrees): 4.205 4.205 5.941 90.00 90.00 90.00
Sites, in units of the cell vectors:
Sb  0.000  0.000  0.500
Er  0.500  0.500  0.500
Se  0.500  0.500  0.000
Er  0.000  0.000  0.000

***

Here is a geometry-optimized YSi2Ag structure from OQMD via LeMat-Bulk. Energies are from PBE.

Properties
Uncorrected energy, eV per atom: -4.983
Magnetization, μB/f.u.: 0.000
Symmetry: F-43m (216)

Lattice parameters (Å, degrees): 4.791 4.791 4.791 60.00 60.00 60.00
Sites, in units of the cell vectors:
Y  0.500  0.500  0.500
Ag  0.250  0.250  0.250
Si  0.000  0.000  0.000
Si  0.750  0.750  0.750

***

Here is a geometry-optimized ErAlPd structure from OQMD via LeMat-Bulk. Energies are from PBE.

Properties
Uncorrected energy, eV per atom: -4.471
Magnetization, μB/f.u.: 0.005
Symmetry: F-43m (216)

Lattice parameters (Å, degrees): 4.660 4.660 4.660 60.00 60.00 60.00
Sites, in units of the cell vectors:
Er  0.000  0.000  0.000
Al  0.250  0.250  0.250
Pd  0.750  0.750  0.750

***

Here is a geometry-optimized TbZr2 structure from OQMD via LeMat-Bulk. Energies are from PBE.

Properties
Uncorrected energy, eV per atom: -6.156
Magnetization, μB/f.u.: 0.755
Symmetry: Fm-3m (225)

Lattice parameters (Å, degrees): 4.954 4.954 4.954 60.00 60.00 60.00
Sites, in units of the cell vectors:
Tb  0.000  0.000  0.000
Zr  0.750  0.750  0.750
Zr  0.250  0.250  0.250

***

Here is a geometry-optimized SmEr2Se3 structure from OQMD via LeMat-Bulk. Energies are from PBE.

Properties
Uncorrected energy, eV per atom: -5.787
Magnetization, μB/f.u.: 0.001
Symmetry: P-3m1 (164)

Lattice parameters (Å, degrees): 4.058 4.058 10.052 90.00 90.00 120.00
Sites, in units of the cell vectors:
Se  0.000  0.000  0.000
Er  0.667  0.333  0.835
Se  0.333  0.667  0.677
Sm  0.000  0.000  0.500
Er  0.333  0.667  0.165
Se  0.667  0.333  0.323

***

Here is a geometry-optimized Be2SiPd structure from OQMD via LeMat-Bulk. Energies are from PBE.

Properties
Uncorrected energy, eV per atom: -4.533
Symmetry: F-43m (216)

Lattice parameters (Å, degrees): 4.006 4.006 4.006 60.00 60.00 60.00
Sites, in units of the cell vectors:
Pd  0.250  0.250  0.250
Be  0.000  0.000  0.000
Be  0.750  0.750  0.750
Si  0.500  0.500  0.500

***

Here is a geometry-optimized YGaCuMo structure from OQMD via LeMat-Bulk. Energies are from PBE.

Properties
Magnetization, μB/f.u.: 0.906
Symmetry: F-43m (216)
Offset from the most stable computed form, meV per atom: 0.0

Lattice parameters (Å, degrees): 4.638 4.638 4.638 60.00 60.00 60.00
Sites, in units of the cell vectors:
Y  0.500  0.500  0.500
Cu  0.750  0.750  0.750
Ga  0.000  0.000  0.000
Mo  0.250  0.250  0.250

***

| no. | volume (Å³ per atom) |
| --- | --- |
| 1 | 39.61 |
| 2 | 14.52 |
| 3 | 16.62 |
| 4 | 28.31 |
| 5 | 21.00 |
| 6 | 26.27 |
| 7 | 19.44 |
| 8 | 23.85 |
| 9 | 28.65 |
| 10 | 23.89 |
| 11 | 11.37 |
| 12 | 17.64 |